No. 1
Density functional theory data (PBE) for a relaxed LiMg2InHg4 crystal.

Calculated volume   175.8 Å³/cell
DFT formation energy   -0.1908 eV per atom
M_tot   0.00 μB per formula unit

Lattice parameters (Å, degrees): 4.992 4.992 8.639 73.21 73.21 60.00
Positions (direct):
Mg  0.748  0.748  0.757
Hg  0.868  0.868  0.397
Li  0.500  0.500  0.500
In  0.000  0.000  0.000
Hg  0.132  0.132  0.603
Hg  0.616  0.616  0.151
Mg  0.252  0.252  0.243
Hg  0.384  0.384  0.849



No. 2
Density functional theory data (PBE) for a relaxed LiMgIn2Hg6 crystal.

Calculated volume   255.3 Å³/cell
DFT formation energy   -0.0671 eV per atom
M_tot   0.00 μB per formula unit

Lattice parameters (Å, degrees): 7.677 8.079 5.888 133.32 101.63 90.00
Positions (direct):
Hg  0.376  0.641  0.282
Hg  0.167  0.699  0.800
Hg  0.167  0.101  0.800
Mg  0.500  0.000  0.000
Li  0.000  0.500  0.000
In  0.219  0.216  0.432
Hg  0.624  0.359  0.718
Hg  0.833  0.899  0.200
In  0.781  0.784  0.568
Hg  0.833  0.301  0.200



No. 3
Density functional theory data (PBE) for a relaxed Li2MgIn2Hg5 crystal.

Calculated volume   453.6 Å³/cell
DFT formation energy   -0.1499 eV per atom
M_tot   0.00 μB per formula unit

Lattice parameters (Å, degrees): 4.265 10.314 10.314 90.00 90.00 90.00
Positions (direct):
Li  0.000  0.124  0.624
In  0.000  0.330  0.830
Hg  0.500  0.589  0.693
Hg  0.500  0.089  0.807
Hg  0.500  0.193  0.089
In  0.000  0.170  0.330
Hg  0.500  0.411  0.307
Li  0.000  0.376  0.124
Hg  0.500  0.911  0.193
Hg  0.500  0.807  0.911
In  0.000  0.830  0.670
Mg  0.000  0.500  0.500
Li  0.000  0.876  0.376
Li  0.000  0.624  0.876
Mg  0.000  0.000  0.000
Hg  0.500  0.500  0.000
Hg  0.500  0.000  0.500
Hg  0.500  0.307  0.589
Hg  0.500  0.693  0.411
In  0.000  0.670  0.170



No. 4
Density functional theory data (PBE) for a relaxed NaLiIn2Hg crystal.

Calculated volume   250.1 Å³/cell
DFT formation energy   -0.1687 eV per atom
M_tot   0.00 μB per formula unit

Lattice parameters (Å, degrees): 5.139 6.277 8.499 90.00 90.00 114.17
Positions (direct):
In  0.236  0.472  0.420
In  0.236  0.472  0.080
Hg  0.500  0.000  0.500
Na  0.952  0.904  0.250
Hg  0.500  0.000  0.000
Na  0.048  0.096  0.750
Li  0.663  0.326  0.250
Li  0.337  0.674  0.750
In  0.764  0.528  0.920
In  0.764  0.528  0.580



No. 5
Density functional theory data (PBE) for a relaxed NaLi2InHg crystal.

Calculated volume   142.3 Å³/cell
DFT formation energy   0.0636 eV per atom
M_tot   0.00 μB per formula unit

Lattice parameters (Å, degrees): 5.065 5.548 5.065 90.00 90.00 90.00
Positions (direct):
Hg  0.000  0.000  0.000
Na  0.000  0.500  0.000
Li  0.500  0.000  0.000
Li  0.000  0.000  0.500
In  0.500  0.500  0.500



No. 6
Density functional theory data (PBE) for a relaxed NaLi2In2Hg2 crystal.

Calculated volume   157.7 Å³/cell
DFT formation energy   -0.1937 eV per atom
M_tot   0.00 μB per formula unit

Lattice parameters (Å, degrees): 4.945 4.945 7.976 71.94 71.94 60.00
Positions (direct):
Li  0.136  0.136  0.591
Hg  0.427  0.427  0.719
In  0.268  0.268  0.197
Na  0.000  0.000  0.000
Hg  0.573  0.573  0.281
Li  0.864  0.864  0.409
In  0.732  0.732  0.803



No. 7
Density functional theory data (PBE) for a relaxed NaLi2InHg4 crystal.

Calculated volume   178.8 Å³/cell
DFT formation energy   -0.2330 eV per atom
M_tot   0.00 μB per formula unit

Lattice parameters (Å, degrees): 4.999 4.999 8.753 73.41 73.41 60.00
Positions (direct):
Hg  0.879  0.879  0.364
Hg  0.629  0.629  0.113
Li  0.246  0.246  0.261
Hg  0.121  0.121  0.636
Hg  0.371  0.371  0.887
Na  0.000  0.000  0.000
Li  0.754  0.754  0.739
In  0.500  0.500  0.500



No. 8
Density functional theory data (PBE) for a relaxed NaLiInHg2 crystal.

Calculated volume   127.8 Å³/cell
Relative energy among the computed polymorphs   0 meV/atom
DFT formation energy   -0.1666 eV per atom
M_tot   0.00 μB per formula unit

Lattice parameters (Å, degrees): 5.057 5.057 5.769 90.00 90.00 120.00
Positions (direct):
Hg  0.333  0.667  0.166
Na  0.000  0.000  0.004
Hg  0.667  0.333  0.834
Li  0.333  0.667  0.650
In  0.667  0.333  0.346



No. 9
Density functional theory data (PBE) for a relaxed Na2LiIn2Hg5 crystal.

Calculated volume   521.4 Å³/cell
DFT formation energy   -0.1653 eV per atom
M_tot   0.00 μB per formula unit

Lattice parameters (Å, degrees): 4.005 11.409 11.409 90.00 90.00 90.00
Positions (direct):
Hg  0.500  0.091  0.832
Hg  0.500  0.668  0.409
In  0.000  0.638  0.862
Hg  0.500  0.000  0.500
Na  0.000  0.163  0.337
Na  0.000  0.663  0.163
Hg  0.500  0.909  0.168
In  0.000  0.862  0.362
Hg  0.500  0.500  0.000
Li  0.000  0.500  0.500
In  0.000  0.362  0.138
Hg  0.500  0.168  0.091
Na  0.000  0.837  0.663
Hg  0.500  0.832  0.909
Li  0.000  0.000  0.000
Hg  0.500  0.332  0.591
In  0.000  0.138  0.638
Hg  0.500  0.409  0.332
Na  0.000  0.337  0.837
Hg  0.500  0.591  0.668



No. 10
Density functional theory data (PBE) for a relaxed NaLiInHg2 crystal.

Calculated volume   132.0 Å³/cell
Relative energy among the computed polymorphs   121 meV/atom
DFT formation energy   -0.0459 eV per atom
M_tot   0.00 μB per formula unit

Lattice parameters (Å, degrees): 5.078 5.078 5.118 90.00 90.00 90.00
Positions (direct):
Li  0.000  0.000  0.000
Hg  0.500  0.000  0.000
In  0.000  0.000  0.500
Hg  0.000  0.500  0.000
Na  0.500  0.500  0.500



No. 11
Density functional theory data (PBE) for a relaxed NaLiIn2Hg4 crystal.

Calculated volume   191.7 Å³/cell
DFT formation energy   -0.1863 eV per atom
M_tot   0.00 μB per formula unit

Lattice parameters (Å, degrees): 5.141 5.141 8.884 73.18 73.18 60.00
Positions (direct):
Hg  0.870  0.870  0.389
Hg  0.380  0.380  0.861
Li  0.500  0.500  0.500
In  0.748  0.748  0.755
Hg  0.130  0.130  0.611
In  0.252  0.252  0.245
Hg  0.620  0.620  0.139
Na  0.000  0.000  0.000



No. 12
Density functional theory data (PBE) for a relaxed LiInNiHg crystal.

Calculated volume   66.2 Å³/cell
DFT formation energy   -0.1625 eV per atom
M_tot   0.00 μB per formula unit

Lattice parameters (Å, degrees): 4.541 4.541 4.541 60.00 60.00 60.00
Positions (direct):
Hg  0.750  0.750  0.750
Ni  0.000  0.000  0.000
Li  0.500  0.500  0.500
In  0.250  0.250  0.250



No. 13
Density functional theory data (PBE) for a relaxed LiIn2NiHg crystal.

Calculated volume   117.2 Å³/cell
DFT formation energy   -0.0319 eV per atom
M_tot   0.00 μB per formula unit

Lattice parameters (Å, degrees): 4.939 4.939 4.806 90.00 90.00 90.00
Positions (direct):
Hg  0.500  0.500  0.500
In  0.000  0.500  0.000
Ni  0.000  0.000  0.000
Li  0.000  0.000  0.500
In  0.500  0.000  0.000



No. 14
Density functional theory data (PBE) for a relaxed Li2InHgO4 crystal.

Calculated volume   94.2 Å³/cell
Energy relative to the elements, uncorrected   -1.16 eV/atom
M_tot   0.99 μB per formula unit

Lattice parameters (Å, degrees): 3.247 5.702 5.448 110.90 90.00 90.00
Site moments in Bohr magnetons follow the coordinates.
Positions (direct):
Li  0.500  0.000  0.500  0.00
O  0.500  0.717  0.737  0.25
Li  0.000  0.500  0.500  0.00
O  0.500  0.283  0.263  0.25
In  0.500  0.500  0.000  -0.01
Hg  0.000  0.000  0.000  0.14
O  0.000  0.254  0.759  0.12
O  0.000  0.746  0.241  0.12



No. 15
Density functional theory data (PBE) for a relaxed LiIn4Hg2O8 crystal.

Calculated volume   229.9 Å³/cell
Energy relative to the elements, uncorrected   -1.02 eV/atom
Relative energy among the computed polymorphs   169 meV/atom
M_tot   0.00 μB per formula unit

Lattice parameters (Å, degrees): 6.876 6.876 6.876 60.00 60.00 60.00
Positions (direct):
O  0.394  0.394  0.819
In  0.102  0.633  0.633
O  0.858  0.858  0.858
O  0.394  0.394  0.394
O  0.858  0.858  0.425
In  0.633  0.633  0.102
Hg  0.250  0.250  0.250
O  0.425  0.858  0.858
In  0.633  0.102  0.633
Hg  0.000  0.000  0.000
O  0.394  0.819  0.394
Li  0.500  0.500  0.500
O  0.819  0.394  0.394
O  0.858  0.425  0.858
In  0.633  0.633  0.633



No. 16
Density functional theory data (PBE) for a relaxed LiIn4Hg2O8 crystal.

Calculated volume   215.7 Å³/cell
Energy relative to the elements, uncorrected   -1.19 eV/atom
Relative energy among the computed polymorphs   0 meV/atom
M_tot   0.00 μB per formula unit

Lattice parameters (Å, degrees): 6.886 6.886 6.886 57.15 57.15 57.15
Positions (direct):
In  0.500  0.000  0.000
In  0.000  0.500  0.000
O  0.241  0.788  0.241
O  0.212  0.759  0.759
O  0.241  0.241  0.788
In  0.000  0.000  0.500
O  0.773  0.773  0.773
O  0.227  0.227  0.227
Li  0.500  0.500  0.500
Hg  0.647  0.647  0.647
O  0.788  0.241  0.241
O  0.759  0.212  0.759
O  0.759  0.759  0.212
Hg  0.353  0.353  0.353
In  0.000  0.000  0.000



No. 17
Density functional theory data (PBE) for a relaxed Li2InHgP crystal.

Calculated volume   119.3 Å³/cell
DFT formation energy   -0.2568 eV per atom
M_tot   0.00 μB per formula unit

Lattice parameters (Å, degrees): 4.724 4.724 5.344 90.00 90.00 90.00
Positions (direct):
Hg  0.500  0.500  0.500
In  0.000  0.000  0.500
Li  0.000  0.500  0.000
P  0.000  0.000  0.000
Li  0.500  0.000  0.000



No. 18
Density functional theory data (PBE) for a relaxed LiPaInHg crystal.

Calculated volume   94.4 Å³/cell
DFT formation energy   0.0012 eV per atom
M_tot   0.79 μB per formula unit

Lattice parameters (Å, degrees): 5.112 5.112 5.112 60.00 60.00 60.00
Site moments in Bohr magnetons follow the coordinates.
Positions (direct):
In  0.500  0.500  0.500  0.01
Li  0.750  0.750  0.750  0.00
Pa  0.250  0.250  0.250  0.69
Hg  0.000  0.000  0.000  0.01



No. 19
Density functional theory data (PBE) for a relaxed Li2InHg2Pb crystal.

Calculated volume   134.7 Å³/cell
DFT formation energy   -0.2292 eV per atom
M_tot   0.00 μB per formula unit

Lattice parameters (Å, degrees): 4.914 4.914 6.439 90.00 90.00 120.00
Positions (direct):
Li  0.667  0.333  0.240
Hg  0.667  0.333  0.725
Li  0.333  0.667  0.760
Hg  0.333  0.667  0.275
In  0.000  0.000  0.500
Pb  0.000  0.000  0.000



No. 20
Density functional theory data (PBE) for a relaxed Li5In2HgPb2 crystal.

Calculated volume   443.4 Å³/cell
DFT formation energy   -0.1897 eV per atom
M_tot   0.00 μB per formula unit

Lattice parameters (Å, degrees): 3.711 10.932 10.932 90.00 90.00 90.00
Positions (direct):
Pb  0.000  0.662  0.162
Li  0.500  0.511  0.696
In  0.000  0.643  0.857
Li  0.500  0.304  0.511
Li  0.500  0.000  0.500
Hg  0.000  0.000  0.000
Li  0.500  0.500  0.000
In  0.000  0.857  0.357
Li  0.500  0.696  0.489
In  0.000  0.143  0.643
Pb  0.000  0.162  0.338
In  0.000  0.357  0.143
Li  0.500  0.011  0.804
Li  0.500  0.989  0.196
Li  0.500  0.489  0.304
Li  0.500  0.804  0.989
Pb  0.000  0.838  0.662
Hg  0.000  0.500  0.500
Li  0.500  0.196  0.011
Pb  0.000  0.338  0.838



No. 21
Density functional theory data (PBE) for a relaxed Li2InHg5Pb2 crystal.

Calculated volume   485.6 Å³/cell
DFT formation energy   -0.0969 eV per atom
M_tot   0.00 μB per formula unit

Lattice parameters (Å, degrees): 3.786 11.325 11.325 90.00 90.00 90.00
Positions (direct):
Pb  0.000  0.826  0.674
Hg  0.500  0.434  0.294
Hg  0.500  0.294  0.566
In  0.000  0.000  0.000
Hg  0.500  0.794  0.934
Li  0.000  0.127  0.627
Pb  0.000  0.174  0.326
In  0.000  0.500  0.500
Hg  0.500  0.934  0.206
Hg  0.500  0.000  0.500
Hg  0.500  0.706  0.434
Li  0.000  0.627  0.873
Li  0.000  0.873  0.373
Li  0.000  0.373  0.127
Hg  0.500  0.066  0.794
Pb  0.000  0.326  0.826
Hg  0.500  0.566  0.706
Hg  0.500  0.500  0.000
Hg  0.500  0.206  0.066
Pb  0.000  0.674  0.174



No. 22
Density functional theory data (PBE) for a relaxed LiInHg3Pb crystal.

Calculated volume   298.4 Å³/cell
DFT formation energy   -0.0930 eV per atom
M_tot   0.00 μB per formula unit

Lattice parameters (Å, degrees): 3.670 8.437 10.012 105.72 90.00 90.00
Positions (direct):
Li  0.750  0.326  0.852
Hg  0.250  0.117  0.945
Hg  0.750  0.883  0.055
Hg  0.750  0.420  0.142
Hg  0.750  0.401  0.582
Li  0.250  0.674  0.148
Pb  0.250  0.188  0.304
In  0.750  0.890  0.374
Hg  0.250  0.599  0.418
Pb  0.750  0.812  0.696
Hg  0.250  0.580  0.858
In  0.250  0.110  0.626



Final energy (computed, eV/cell): -10.57, -11.47, -27.82, -19.71, -7.87, -12.58, -10.96, -7.41, -26.38, -6.80, -11.41, -11.39, -13.63, -36.01, -68.45, -70.99, -13.56, -14.45, -12.25, -49.32, -32.92, -19.65